1.
A plane-wave DFT calculation with PBE was carried out for a geometry-optimized Zn6IrPt2 structure.

Cell lengths 7.274, 7.274, 4.201 Å; angles 106.05, 106.05, 48.43 degrees
Fractional coordinates of all 9 atoms:
1 Zn 0.082 0.589 0.336
2 Zn 0.244 0.756 0.000
3 Zn 0.411 0.918 0.664
4 Zn 0.589 0.082 0.336
5 Zn 0.756 0.244 0.000
6 Zn 0.918 0.411 0.664
7 Ir 0.000 0.000 0.500
8 Pt 0.334 0.334 0.834
9 Pt 0.666 0.666 0.166

## Properties
Symmetry: C2/m (12)
DOS(E_F): 0.282 states/eV per atom
E: -3.411 eV per atom
Offset from the most stable computed form: 92 meV per atom
Energy relative to the elements: -234.2 meV per atom
Size of the total moment: 0.00 Bohr magnetons per cell

***

2.
A plane-wave DFT calculation with PBE was carried out for a geometry-optimized Sn2SbCl structure.

Cell lengths 3.761, 3.761, 7.799 Å; angles 90.00, 90.00, 90.00 degrees
Fractional coordinates of all 4 atoms:
1 Sn 0.000 0.000 0.240
2 Sn 0.000 0.000 0.760
3 Sb 0.500 0.500 0.000
4 Cl 0.500 0.500 0.500

## Properties
Symmetry: P4/mmm (123)
DOS(E_F): 0.539 states/eV per atom
E: -3.674 eV per atom
Raw formation energy: -0.180 eV/atom
Offset from the most stable computed form: 118 meV per atom
Size of the total moment: 0.00 Bohr magnetons per cell